Record 1
Material: CsK2AlSb2
Method: DFT, GGA-PBE
State: optimized geometry

Structure (CIF):
```
data_CsK2AlSb2
_cell_length_a 9.444
_cell_length_b 14.268
_cell_length_c 7.423
_cell_angle_alpha 90.00
_cell_angle_beta 90.00
_cell_angle_gamma 90.00
_space_group_name_H-M_alt 'I b a m'
_space_group_IT_number 72
_space_group_name_Hall '-I 2 2c'
loop_
_atom_site_label
_atom_site_type_symbol
_atom_site_fract_x
_atom_site_fract_y
_atom_site_fract_z
Cs1 Cs 0.000 0.000 0.250
K1 K 0.171 0.320 0.000
Al1 Al 0.000 0.500 0.250
Sb1 Sb 0.170 0.408 0.500
```

## Properties
The theoretical density comes out at 3.2 g cm⁻³. The formation energy (no corrections) comes out at -2.51 eV/f.u.

Record 2
Material: Cs2KAlSb2
Method: DFT, GGA-PBE
State: optimized geometry

Structure (CIF):
```
data_Cs2KAlSb2
_cell_length_a 8.288
_cell_length_b 16.735
_cell_length_c 7.397
_cell_angle_alpha 90.00
_cell_angle_beta 90.00
_cell_angle_gamma 90.00
_space_group_name_H-M_alt 'I b a m'
_space_group_IT_number 72
_space_group_name_Hall '-I 2 2c'
loop_
_atom_site_label
_atom_site_type_symbol
_atom_site_fract_x
_atom_site_fract_y
_atom_site_fract_z
Cs1 Cs 0.232 0.172 0.000
K1 K 0.000 0.500 0.250
Al1 Al 0.000 0.000 0.250
Sb1 Sb 0.184 0.086 0.500
```

## Properties
The theoretical density comes out at 3.7 g cm⁻³. The formation energy (no corrections) comes out at -2.76 eV/f.u.

Record 3
Material: Cs6K3AlSb4
Method: DFT, GGA-PBE
State: optimized geometry

Structure (CIF):
```
data_Cs6K3AlSb4
_cell_length_a 11.1669
_cell_length_b 11.1669
_cell_length_c 11.6920
_cell_angle_alpha 90.00
_cell_angle_beta 90.00
_cell_angle_gamma 120.00
_space_group_name_H-M_alt 'P 63/m m c'
_space_group_IT_number 194
_space_group_name_Hall '-P 6c 2c'
loop_
_atom_site_label
_atom_site_type_symbol
_atom_site_fract_x
_atom_site_fract_y
_atom_site_fract_z
Cs1 Cs 0.2089 0.4178 0.0435
K1 K 0.1195 0.2391 0.7500
Al1 Al 0.3333 0.6667 0.7500
Sb1 Sb 0.0000 0.0000 0.0000
Sb2 Sb 0.0558 0.5279 0.7500
```

## Properties
The theoretical density comes out at 3.8 g cm⁻³. The formation energy (no corrections) comes out at -6.23 eV/f.u.